1.
## Ti2CuHPt (PBE)

Data for a geometry-optimized Ti2CuHPt structure.

a = 3.985 Å, b = 3.985 Å, c = 3.930 Å
α = 90.00°, β = 90.00°, γ = 90.00°
Sites, in units of the cell vectors:
Ti1 0.000 0.500 0.000
Ti2 0.500 0.000 0.000
Cu1 0.000 0.000 0.500
H1 0.500 0.500 0.000
Pt1 0.500 0.500 0.500

Electronic total energy (eV/atom): -6.256
Crystal system: tetragonal
Offset from the most stable computed form (meV per atom): 83
N(E_F) (states/eV per atom): 1.002

2.
## CsSc3Pd (PBE)

Data for a geometry-optimized CsSc3Pd structure.

a = 5.319 Å, b = 5.319 Å, c = 5.319 Å
α = 90.00°, β = 90.00°, γ = 90.00°
Sites, in units of the cell vectors:
Cs1 0.000 0.000 0.000
Sc1 0.000 0.500 0.500
Sc2 0.500 0.000 0.500
Sc3 0.500 0.500 0.000
Pd1 0.500 0.500 0.500

Electronic total energy (eV/atom): -4.832
DFT formation energy (eV/atom): 0.176
Crystal system: cubic
Offset from the most stable computed form (meV per atom): 0
N(E_F) (states/eV per atom): 2.551

3.
## TlCrAg2 (PBE)

Data for a geometry-optimized TlCrAg2 structure.

a = 5.375 Å, b = 5.375 Å, c = 5.375 Å
α = 134.54°, β = 134.54°, γ = 66.25°
Sites, in units of the cell vectors:
Tl1 0.000 0.000 0.000
Cr1 0.500 0.500 0.000
Ag1 0.250 0.750 0.500
Ag2 0.750 0.250 0.500

Electronic total energy (eV/atom): -4.067
DFT formation energy (eV/atom): 0.356
Crystal system: tetragonal
N(E_F) (states/eV per atom): 0.479

4.
## TiOsIN2 (PBE)

Data for a geometry-optimized TiOsIN2 structure.

a = 3.863 Å, b = 3.863 Å, c = 5.998 Å
α = 90.00°, β = 90.00°, γ = 90.00°
Sites, in units of the cell vectors:
Ti1 0.000 0.000 0.000
Os1 0.500 0.500 0.500
I1 0.500 0.500 0.000
N1 0.000 0.500 0.500
N2 0.500 0.000 0.500

Electronic total energy (eV/atom): -6.571
E_form (uncorrected) (eV per atom): 0.894
Crystal system: tetragonal
Offset from the most stable computed form (meV per atom): 0
N(E_F) (states/eV per atom): 1.103

5.
## MgCu3Sn (PBE)

Data for a geometry-optimized MgCu3Sn structure.

a = 6.161 Å, b = 6.161 Å, c = 6.161 Å
α = 65.10°, β = 65.10°, γ = 65.10°
Sites, in units of the cell vectors:
Mg1 0.000 0.000 0.000
Mg2 0.500 0.500 0.500
Cu1 0.051 0.875 0.612
Cu2 0.112 0.375 0.551
Cu3 0.375 0.551 0.112
Cu4 0.551 0.112 0.375
Cu5 0.612 0.051 0.875
Cu6 0.875 0.612 0.051
Sn1 0.194 0.194 0.194
Sn2 0.694 0.694 0.694

Electronic total energy (eV/atom): -3.349
DFT formation energy (eV/atom): 0.228
Crystal system: trigonal
Offset from the most stable computed form (meV per atom): 0
N(E_F) (states/eV per atom): 0.410

6.
## AsP2HCl (PBE)

Data for a geometry-optimized AsP2HCl structure.

a = 4.819 Å, b = 4.819 Å, c = 5.307 Å
α = 90.00°, β = 90.00°, γ = 90.00°
Sites, in units of the cell vectors:
As1 0.000 0.000 0.000
P1 0.000 0.500 0.000
P2 0.500 0.000 0.000
H1 0.500 0.500 0.500
Cl1 0.000 0.000 0.500

Electronic total energy (eV/atom): -2.966
Crystal system: tetragonal
Offset from the most stable computed form (meV per atom): 393
N(E_F) (states/eV per atom): 0.430

7.
## Hf2Zn2Co (PBE)

Data for a geometry-optimized Hf2Zn2Co structure.

a = 6.584 Å, b = 6.584 Å, c = 3.853 Å
α = 90.00°, β = 90.00°, γ = 90.00°
Sites, in units of the cell vectors:
Hf1 0.174 0.326 0.000
Hf2 0.326 0.826 0.000
Hf3 0.674 0.174 0.000
Hf4 0.826 0.674 0.000
Zn1 0.132 0.632 0.500
Zn2 0.368 0.132 0.500
Zn3 0.632 0.868 0.500
Zn4 0.868 0.368 0.500
Co1 0.000 0.000 0.500
Co2 0.500 0.500 0.500

Electronic total energy (eV/atom): -5.982
DFT formation energy (eV/atom): -0.070
Crystal system: tetragonal
N(E_F) (states/eV per atom): 0.993